(1)
This record from Alexandria describes a relaxed structure of KLiIr3. The functional is GGA-PBE.

Space-group type = No. 221
Offset from the most stable computed form = 1542 meV per atom
Energy of formation = 1380.3 kJ/mol of formula units

POSCAR file:
```
KLiIr3
1.0
4.815 0.000 0.000
0.000 4.815 0.000
0.000 0.000 4.815
K Ir Li
1 3 1
direct
0.000 0.000 0.000
0.000 0.500 0.000
0.000 0.000 0.500
0.500 0.000 0.000
0.500 0.500 0.500
```

=====

(2)
This record from Alexandria describes a relaxed structure of KLiIr2. The functional is GGA-PBE.

Space-group type = No. 123
Offset from the most stable computed form = 739 meV per atom
Energy of formation = 370.8 kJ/mol of formula units

POSCAR file:
```
KLiIr2
1.0
-1.874 -4.090 -3.542
-3.417 -2.012 4.131
-1.812 1.497 -0.770
Ir K Li
2 1 1
direct
0.000 0.000 0.000
0.500 0.500 0.000
0.500 0.000 0.500
0.000 0.500 0.500
```

=====

(3)
This record from Alexandria describes a relaxed structure of KLiIr2. The functional is GGA-PBE.

Space-group type = No. 44
Offset from the most stable computed form = 375 meV per atom
Energy of formation = 230.3 kJ/mol of formula units

POSCAR file:
```
KLiIr2
1.0
-2.594 -1.862 5.335
-0.900 -6.046 1.136
3.451 5.088 -0.930
Ir K Li
2 1 1
direct
0.988 0.988 0.000
0.794 0.294 0.500
0.505 0.505 0.000
0.213 0.713 0.500
```

=====

(4)
This record from Alexandria describes a relaxed structure of KLiIr2. The functional is GGA-PBE.

Space-group type = No. 71
Offset from the most stable computed form = 97 meV per atom
Energy of formation = 123.1 kJ/mol of formula units

POSCAR file:
```
KLiIr2
1.0
5.898 0.012 0.007
5.266 2.658 0.007
1.839 0.440 4.262
Ir K Li
2 1 1
direct
0.975 0.975 0.025
0.525 0.525 0.475
0.750 0.750 0.750
0.250 0.250 0.250
```

=====

(5)
This record from Alexandria describes a relaxed structure of KLiIr2. The functional is GGA-PBE.

Space-group type = No. 6
Offset from the most stable computed form = 6 meV per atom
Energy of formation = 88.0 kJ/mol of formula units

POSCAR file:
```
KLiIr2
1.0
-0.643 -2.310 3.459
0.587 -2.306 -1.431
7.528 -0.441 1.105
Ir K Li
2 1 1
direct
0.000 0.790 0.049
0.500 0.245 0.138
0.000 0.571 0.469
0.500 0.893 0.843
```

=====

(6)
This record from Alexandria describes a relaxed structure of KLiIr2. The functional is GGA-PBE.

Space-group type = No. 123
Offset from the most stable computed form = 235 meV per atom
Energy of formation = 176.5 kJ/mol of formula units

POSCAR file:
```
KLiIr2
1.0
-2.577 -0.082 0.633
-0.235 -2.327 -1.258
2.146 -4.614 8.136
Ir K Li
2 1 1
direct
0.000 0.000 0.963
0.000 0.000 0.537
0.500 0.500 0.250
0.500 0.500 0.750
```

=====

(7)
This record from Alexandria describes a relaxed structure of KLiIr2. The functional is GGA-PBE.

Space-group type = No. 47
Offset from the most stable computed form = 245 meV per atom
Energy of formation = 180.3 kJ/mol of formula units

POSCAR file:
```
KLiIr2
1.0
-2.470 -1.152 -0.508
0.702 -3.052 3.505
-2.244 3.335 3.353
Ir K Li
2 1 1
direct
0.000 0.000 0.000
0.500 0.500 0.000
0.500 0.000 0.500
0.000 0.500 0.500
```

=====

(8)
This record from Alexandria describes a relaxed structure of K4LiIr. The functional is GGA-PBE.

Space-group type = No. 216
Energy of formation = 513.2 kJ/mol of formula units

POSCAR file:
```
K4LiIr
1.0
0.000 4.766 4.766
4.766 0.000 4.766
4.766 4.766 0.000
K Li Ir
4 1 1
direct
0.373 0.881 0.373
0.881 0.373 0.373
0.373 0.373 0.881
0.373 0.373 0.373
0.750 0.750 0.750
0.000 0.000 0.000
```

=====

Ordered V results: 22.32 20.27 20.38 16.63 21.89 16.91 17.05 36.08; unit Å³ per atom.